(1)
Below is a relaxed K2Pa2CrS6 crystal, with properties calculated at the PBE-GGA level.

Results
**Size of the total moment**: 0.5505 μB per atom
**Formation energy without anion corrections**: -14.83 eV/f.u.

a = 6.831 Å, b = 6.831 Å, c = 7.855 Å
α = 97.83°, β = 97.83°, γ = 120.38°
Element x y z (fractional)
K1 0.838 0.162 0.000
S1 0.940 0.601 0.306
S2 0.742 0.742 0.691
Pa1 0.663 0.337 0.500
Cr1 0.000 0.000 0.500
K2 0.162 0.838 0.000
S3 0.258 0.258 0.309
Pa2 0.337 0.663 0.500
S4 0.399 0.060 0.694
S5 0.060 0.399 0.694
S6 0.601 0.940 0.306

***

(2)
Below is a relaxed K2PaCrSe4 crystal, with properties calculated at the PBE-GGA level.

Results
**Size of the total moment**: 0.6257 μB per atom
**Formation energy without anion corrections**: -8.74 eV/f.u.

a = 4.205 Å, b = 6.884 Å, c = 8.068 Å
α = 107.44°, β = 90.00°, γ = 90.00°
Element x y z (fractional)
Se1 0.500 0.226 0.195
Pa1 0.500 0.500 0.000
Se2 0.500 0.774 0.805
Se3 0.000 0.254 0.797
K1 0.000 0.500 0.500
Cr1 0.000 0.000 0.000
Se4 0.000 0.746 0.203
K2 0.500 0.000 0.500

***

(3)
Below is a relaxed KPaCrSe4 crystal, with properties calculated at the PBE-GGA level.

Results
**Size of the total moment**: 0.5740 μB per atom
**Formation energy without anion corrections**: -6.91 eV/f.u.

a = 8.312 Å, b = 8.149 Å, c = 9.142 Å
α = 124.12°, β = 90.00°, γ = 120.66°
Element x y z (fractional)
Se1 0.244 0.488 0.674
Pa1 0.500 0.000 0.000
Se2 0.756 0.512 0.326
Se3 0.756 0.512 0.686
K1 0.825 0.651 0.075
Cr1 0.000 0.500 0.500
Pa2 0.500 0.000 0.500
K2 0.175 0.349 0.925
Cr2 0.500 0.500 0.500
Se4 0.710 0.001 0.750
Se5 0.244 0.488 0.314
Se6 0.290 0.999 0.250
Se7 0.709 0.999 0.250
Se8 0.291 0.001 0.750

***

> What is the size of the total moment in the second record?

0.6257 μB per atom

***

> What is the size of the total moment in the second record?

0.6257 μB per atom

***

> Look up the formation energy without anion corrections of the third one.

-6.91 eV/f.u.